# 1
## K2CuMoS4 (PBE)

Data for an optimized crystal structure of K2CuMoS4.

```
8
Lattice="6.5544 -0.0002 -0.0003 -2.7930 5.9295 0.0003 -2.7930 -2.3859 5.4283" Properties=species:S:1:pos:R:3 pbc="T T T"
K 0.4842 3.8505 1.3571
K 0.0000 0.0000 0.0000
Cu 0.4842 -0.3072 4.0711
Mo -2.7930 1.7718 2.7143
S 1.5700 1.2275 2.7217
S -1.6547 -0.1144 3.2093
S 4.2029 2.6557 0.6837
S -2.1813 3.3180 4.2418
```

Values from the calculation:
Space-group type   I-4
Total energy   -4.962 eV per atom
Size of the total moment   0.89 μB/f.u.
DOS(E_F)   3.42 states/eV/cell
Formation energy without anion corrections   -0.76 eV per atom



# 2
## K2CuMoSe (PBE)

Data for an optimized crystal structure of K2CuMoSe.

```
5
Lattice="-4.3162 3.3296 3.5421 -2.8997 -0.0877 -3.4510 -2.4798 -5.5822 2.2255" Properties=species:S:1:pos:R:3 pbc="T T T"
K -1.2399 -2.7911 1.1127
K -2.1581 1.6648 1.7711
Mo -4.8479 -1.1701 1.1583
Cu -1.4499 -0.0438 -1.7255
Se 0.0000 0.0000 0.0000
```

Values from the calculation:
Space-group type   P4/mmm
Total energy   -3.453 eV per atom
Size of the total moment   5.07 μB/f.u.
DOS(E_F)   0.88 states/eV/cell
Formation energy without anion corrections   0.67 eV per atom



# 3
## KSr2CuMo (PBE)

Data for an optimized crystal structure of KSr2CuMo.

```
5
Lattice="6.0401 0.0000 0.0000 0.0000 5.1112 0.0000 0.0000 0.0000 6.0401" Properties=species:S:1:pos:R:3 pbc="T T T"
Sr 0.0000 0.0000 3.0200
Sr 3.0200 0.0000 0.0000
Mo 0.0000 2.5556 0.0000
K 3.0200 2.5556 3.0200
Cu 0.0000 0.0000 0.0000
```

Values from the calculation:
Space-group type   P4/mmm
Total energy   -3.164 eV per atom
Size of the total moment   3.56 μB/f.u.
Formation energy   0.71 eV per atom
DOS(E_F)   3.63 states/eV/cell



# 4
## KCuTc2Mo (PBE)

Data for an optimized crystal structure of KCuTc2Mo.

```
5
Lattice="4.5254 0.0000 0.0000 0.0000 4.3605 0.0000 0.0000 0.0000 4.5254" Properties=species:S:1:pos:R:3 pbc="T T T"
K 0.0000 0.0000 0.0000
Mo 2.2627 2.1802 2.2627
Tc 0.0000 0.0000 2.2627
Tc 2.2627 0.0000 0.0000
Cu 0.0000 2.1802 0.0000
```

Values from the calculation:
Space-group type   P4/mmm
Total energy   -4.434 eV per atom
Size of the total moment   0.00 μB/f.u.
Formation energy   2.92 eV per atom
DOS(E_F)   6.17 states/eV/cell



# 5
## KZnCuMo2 (PBE)

Data for an optimized crystal structure of KZnCuMo2.

```
5
Lattice="-3.6699 -2.6684 1.3729 3.3739 -4.4593 0.3515 0.9253 1.0569 4.5278" Properties=species:S:1:pos:R:3 pbc="T T T"
K 1.6869 -2.2297 0.1757
Mo 0.4626 0.5285 2.2639
Mo -1.8350 -1.3342 0.6865
Zn 0.3146 -3.0354 3.1261
Cu 0.0000 0.0000 0.0000
```

Values from the calculation:
Space-group type   P4/mmm
Total energy   -3.858 eV per atom
Size of the total moment   4.19 μB/f.u.
Formation energy   1.77 eV per atom
DOS(E_F)   9.06 states/eV/cell



# 6
## K2ZnCuMo (PBE)

Data for an optimized crystal structure of K2ZnCuMo.

```
5
Lattice="6.1862 0.0000 0.0000 0.0000 4.7377 0.0000 0.0000 0.0000 6.1862" Properties=species:S:1:pos:R:3 pbc="T T T"
K 0.0000 0.0000 3.0931
K 3.0931 0.0000 0.0000
Mo 3.0931 2.3689 3.0931
Zn 0.0000 2.3689 0.0000
Cu 0.0000 0.0000 0.0000
```

Values from the calculation:
Space-group type   P4/mmm
Total energy   -2.513 eV per atom
Size of the total moment   4.88 μB/f.u.
Formation energy   1.17 eV per atom
DOS(E_F)   2.55 states/eV/cell



# 7
## KCu2N (PBE)

Data for an optimized crystal structure of KCu2N.

```
8
Lattice="6.0313 0.0000 0.0000 0.0000 6.0313 0.0000 3.0156 3.0156 4.2661" Properties=species:S:1:pos:R:3 pbc="T T T"
K 0.0000 0.0000 0.0000
K 6.0313 3.0156 2.1330
Cu 3.0157 1.5078 1.0665
Cu 3.0156 4.5235 1.0665
Cu 4.5235 6.0312 3.1996
Cu 7.5391 6.0314 3.1996
N 3.0156 3.0156 0.0000
N 3.0156 6.0313 2.1330
```

Values from the calculation:
Space-group type   Fd-3m
Total energy   -4.390 eV per atom
Size of the total moment   0.00 μB/f.u.
DOS(E_F)   0.00 states/eV/cell
Formation energy without anion corrections   0.01 eV per atom



# 8
## K2CuN (PBE)

Data for an optimized crystal structure of K2CuN.

```
8
Lattice="11.5342 0.0000 0.0000 0.0000 11.5342 0.0000 5.7671 5.7671 1.7985" Properties=species:S:1:pos:R:3 pbc="T T T"
K 6.0247 2.8835 0.4496
K 5.5095 8.6506 0.4496
K 8.6506 11.2765 1.3489
K 14.4177 11.7918 1.3489
Cu 0.0000 0.0000 0.0000
Cu 11.5342 5.7671 0.8993
N 5.7671 5.7671 0.0000
N 5.7671 11.5342 0.8993
```

Values from the calculation:
Space-group type   I-42d
Total energy   -3.550 eV per atom
Size of the total moment   0.00 μB/f.u.
DOS(E_F)   4.17 states/eV/cell
Formation energy without anion corrections   0.10 eV per atom